1.
SrIn2I6 | GGA-PBE | optimized geometry

## Properties
The density of states at the Fermi level comes out at 2.57 states/eV per cell. The formation energy (no corrections) comes out at -0.81 eV/atom.

a b c (Å): 7.9040 7.9040 11.5819
angles (deg): 90.97 90.97 40.87
Sites, in units of the cell vectors:
Sr 0.0000 0.0000 0.0000
In 0.2781 0.2781 0.7028
In 0.7219 0.7219 0.2972
I 0.0847 0.0847 0.7426
I 0.1838 0.1838 0.3675
I 0.3669 0.3669 0.9413
I 0.6331 0.6331 0.0587
I 0.8162 0.8162 0.6325
I 0.9153 0.9153 0.2574


2.
SrInI2 | GGA-PBE | optimized geometry

## Properties
The density of states at the Fermi level comes out at 0.75 states/eV per cell. The formation energy (no corrections) comes out at -0.83 eV/atom.

a b c (Å): 7.7244 7.7244 7.7244
angles (deg): 105.74 105.74 117.22
Sites, in units of the cell vectors:
Sr 0.0000 0.0000 0.0000
Sr 0.7500 0.2500 0.5000
In 0.2500 0.7500 0.5000
In 0.5000 0.5000 0.0000
I 0.0966 0.6250 0.9716
I 0.3750 0.3466 0.4716
I 0.6534 0.1250 0.0284
I 0.8750 0.9034 0.5284


3.
SrIn6I8 | GGA-PBE | optimized geometry

## Properties
The density of states at the Fermi level comes out at 0.00 states/eV per cell. The formation energy (no corrections) comes out at -0.67 eV/atom.

a b c (Å): 10.6637 10.6637 6.8631
angles (deg): 90.00 90.00 120.00
Sites, in units of the cell vectors:
Sr 0.0000 0.0000 0.0000
In 0.0309 0.3908 0.7923
In 0.3599 0.9691 0.7923
In 0.3908 0.3599 0.2077
In 0.6092 0.6401 0.7923
In 0.6401 0.0309 0.2077
In 0.9691 0.6092 0.2077
I 0.0035 0.2627 0.2511
I 0.2591 0.9965 0.2511
I 0.2627 0.2591 0.7489
I 0.3333 0.6667 0.9900
I 0.6667 0.3333 0.0100
I 0.7373 0.7409 0.2511
I 0.7409 0.0035 0.7489
I 0.9965 0.7373 0.7489


4.
SrIn3I | GGA-PBE | optimized geometry

## Properties
The density of states at the Fermi level comes out at 3.33 states/eV per cell. The formation energy (no corrections) comes out at 0.19 eV/atom.

a b c (Å): 6.1502 6.1502 6.1502
angles (deg): 90.00 90.00 90.00
Sites, in units of the cell vectors:
Sr 0.0000 0.0000 0.0000
In 0.0000 0.5000 0.5000
In 0.5000 0.0000 0.5000
In 0.5000 0.5000 0.0000
I 0.5000 0.5000 0.5000


5.
SrIn3I6 | GGA-PBE | optimized geometry

## Properties
The density of states at the Fermi level comes out at 11.22 states/eV per cell. The formation energy (no corrections) comes out at -0.77 eV/atom.

a b c (Å): 9.8058 9.8058 9.8058
angles (deg): 91.58 91.58 91.58
Sites, in units of the cell vectors:
Sr 0.0000 0.0000 0.0000
Sr 0.5000 0.5000 0.5000
In 0.0671 0.5876 0.7410
In 0.2590 0.9329 0.4124
In 0.4124 0.2590 0.9329
In 0.5876 0.7410 0.0671
In 0.7410 0.0671 0.5876
In 0.9329 0.4124 0.2590
I 0.0289 0.9102 0.6783
I 0.0898 0.3217 0.9711
I 0.1912 0.5968 0.3957
I 0.3217 0.9711 0.0898
I 0.3957 0.1912 0.5968
I 0.4032 0.6043 0.8088
I 0.5968 0.3957 0.1912
I 0.6043 0.8088 0.4032
I 0.6783 0.0289 0.9102
I 0.8088 0.4032 0.6043
I 0.9102 0.6783 0.0289
I 0.9711 0.0898 0.3217


6.
SrTbInI6 | GGA-PBE | optimized geometry

## Properties
The density of states at the Fermi level comes out at 0.00 states/eV per cell. The formation energy (no corrections) comes out at -1.29 eV/atom.

a b c (Å): 8.1753 8.1753 15.0436
angles (deg): 90.00 90.00 120.00
Sites, in units of the cell vectors:
Sr 0.3333 0.6667 0.2500
Sr 0.6667 0.3333 0.7500
Tb 0.3333 0.6667 0.7500
Tb 0.6667 0.3333 0.2500
In 0.0000 0.0000 0.0000
In 0.0000 0.0000 0.5000
I 0.0225 0.3703 0.6310
I 0.0225 0.6522 0.8690
I 0.3478 0.3703 0.8690
I 0.3478 0.9775 0.6310
I 0.3703 0.0225 0.1310
I 0.3703 0.3478 0.3690
I 0.6297 0.6522 0.6310
I 0.6297 0.9775 0.8690
I 0.6522 0.0225 0.3690
I 0.6522 0.6297 0.1310
I 0.9775 0.3478 0.1310
I 0.9775 0.6297 0.3690


7.
SrInTeI2 | GGA-PBE | optimized geometry

## Properties
The density of states at the Fermi level comes out at 4.84 states/eV per cell. The formation energy (no corrections) comes out at -0.64 eV/atom.

a b c (Å): 6.3626 6.3626 6.4285
angles (deg): 90.00 90.00 90.00
Sites, in units of the cell vectors:
Sr 0.0000 0.0000 0.0000
In 0.5000 0.5000 0.5000
Te 0.0000 0.0000 0.5000
I 0.0000 0.5000 0.0000
I 0.5000 0.0000 0.0000


8.
SrInTeI2 | GGA-PBE | optimized geometry

## Properties
The density of states at the Fermi level comes out at 1.09 states/eV per cell. The formation energy (no corrections) comes out at -0.58 eV/atom.

a b c (Å): 5.7409 5.7409 5.4543
angles (deg): 90.00 90.00 90.00
Sites, in units of the cell vectors:
Sr 0.0000 0.0000 0.0000
In 0.5000 0.5000 0.5000
Te 0.5000 0.5000 0.0000
I 0.0000 0.5000 0.5000
I 0.5000 0.0000 0.5000


For reference, total magnetization by record: 0.00; 2.00; 0.00; 0.00; 0.00; 0.00; 1.03; 0.00 μB/cell.